(1)
CeScCd2 after structural relaxation, computed with PBE-GGA. Values from VASP.

```
&SYSTEM
  ibrav = 0, nat = 4, ntyp = 3
/
ATOMIC_SPECIES
Sc 44.96 Sc.upf
Ce 140.12 Ce.upf
Cd 112.41 Cd.upf
CELL_PARAMETERS angstrom
-1.9463 1.9250 -1.9968
-2.0920 -4.4832 -2.2830
-3.9390 -0.0785 3.7638
ATOMIC_POSITIONS crystal
Sc 0.5000 0.0000 0.0000
Ce 0.5000 0.5000 0.5000
Cd 0.0000 0.0000 0.5000
Cd 0.0000 0.5000 0.0000
```

Summary:
- distance to the lowest polymorph of the same formula (meV/atom) = 80
- VASP energy (eV per atom) = -3.662
- total moment (μB/cell) = 1.433
- energy relative to the elements (eV per formula unit) = -0.6

=====

(2)
La3ThHg6 after structural relaxation, computed with PBE-GGA. Values from VASP.

```
&SYSTEM
  ibrav = 0, nat = 20, ntyp = 3
/
ATOMIC_SPECIES
La 138.91 La.upf
Th 232.04 Th.upf
Hg 200.59 Hg.upf
CELL_PARAMETERS angstrom
5.3454 0.0000 0.0000
0.0000 9.2171 -2.9384
0.0000 -0.0067 11.5038
ATOMIC_POSITIONS crystal
La 0.2500 0.5123 0.3818
La 0.7500 0.4877 0.6182
La 0.2500 0.3502 0.7853
La 0.7500 0.6498 0.2147
La 0.2500 0.7734 0.9870
La 0.7500 0.2266 0.0130
Th 0.2500 0.9413 0.6108
Th 0.7500 0.0587 0.3892
Hg 0.2500 0.4698 0.0837
Hg 0.7500 0.5302 0.9163
Hg 0.2500 0.1374 0.1922
Hg 0.7500 0.8626 0.8078
Hg 0.2500 0.6609 0.6961
Hg 0.7500 0.3391 0.3039
Hg 0.2500 0.2379 0.4928
Hg 0.7500 0.7621 0.5072
Hg 0.2500 0.8518 0.3100
Hg 0.7500 0.1482 0.6900
Hg 0.2500 0.0647 0.8977
Hg 0.7500 0.9353 0.1023
```

Summary:
- VASP energy (eV per atom) = -2.793
- total moment (μB/cell) = 0.000
- energy relative to the elements (eV per formula unit) = -3.9